SrLa2Dy: relaxed, PBE.

Cell lengths 6.0351, 6.0351, 6.0351 Å; angles 60.00, 60.00, 60.00 degrees
Last column: nearest neighbours and their distance in Å.
Positions (direct):
Sr: 0.5000 0.5000 0.5000  8 La 3.70
La: 0.2500 0.2500 0.2500  4 Sr 3.70, 4 Dy 3.70
La: 0.7500 0.7500 0.7500  4 Sr 3.70, 4 Dy 3.70
Dy: 0.0000 0.0000 0.0000  8 La 3.70

Computed properties:
The total magnetization comes out at 0.00 μB per formula unit. As for the symmetry: Fm-3m (225). Its formation energy is 0.1898 eV/atom. The calculation puts the total DFT energy (no corrections) at -3.84 eV per atom.